# CeYSn PBE optimized geometry
data_CeYSn
_cell_length_a 5.2478
_cell_length_b 5.2478
_cell_length_c 3.6881
_cell_angle_alpha 90.00
_cell_angle_beta 90.00
_cell_angle_gamma 120.00
_symmetry_space_group_name_H-M 'P 3 m 1'
_symmetry_Int_Tables_number 156
_symmetry_space_group_name_Hall 'P 3 -2"'
loop_
_atom_site_label
_atom_site_fract_x
_atom_site_fract_y
_atom_site_fract_z
Ce1 0.0000 0.0000 0.0000
Y1 0.3333 0.6667 0.5620
Sn1 0.6667 0.3333 0.3431
# Density of states at the Fermi level (states/eV/atom): 2.561
# Volume (A^3/atom): 29.3
# ΔH_f (0 K) (eV per atom): -0.2981
# Electronic total energy (eV per atom): -5.765
# Energy above the lowest structure with this stoichiometry (eV per atom): 0.280
# M_tot (Bohr magnetons per cell): 1.5


# CeY2Sn PBE optimized geometry
data_CeY2Sn
_cell_length_a 4.9001
_cell_length_b 4.9001
_cell_length_c 4.6502
_cell_angle_alpha 90.00
_cell_angle_beta 90.00
_cell_angle_gamma 90.00
_symmetry_space_group_name_H-M 'P 4/m m m'
_symmetry_Int_Tables_number 123
_symmetry_space_group_name_Hall '-P 4 2'
loop_
_atom_site_label
_atom_site_fract_x
_atom_site_fract_y
_atom_site_fract_z
Ce1 0.0000 0.0000 0.0000
Y1 0.0000 0.5000 0.5000
Sn1 0.5000 0.5000 0.0000
# Density of states at the Fermi level (states/eV/atom): 1.884
# Volume (A^3/atom): 27.9
# ΔH_f (0 K) (eV per atom): -0.3889
# Electronic total energy (eV per atom): -6.105
# Energy above the lowest structure with this stoichiometry (eV per atom): 0.000
# M_tot (Bohr magnetons per cell): 0.3


# CeYSn PBE optimized geometry
data_CeYSn
_cell_length_a 7.6016
_cell_length_b 14.0950
_cell_length_c 14.6468
_cell_angle_alpha 90.00
_cell_angle_beta 90.00
_cell_angle_gamma 90.00
_symmetry_space_group_name_H-M 'F d d d'
_symmetry_Int_Tables_number 70
loop_
_symmetry_equiv_pos_as_xyz
'x,y,z'
'-x,-y,-z'
'-x+1/4,-y+1/4,z'
'x+1/4,y+1/4,-z'
'x,-y+1/4,-z+1/4'
'-x,y+1/4,z+1/4'
'-x+1/4,y,-z+1/4'
'x+1/4,-y,z+1/4'
'x,y+1/2,z+1/2'
'-x,-y+1/2,-z+1/2'
'-x+1/4,-y+3/4,z+1/2'
'x+1/4,y+3/4,-z+1/2'
'x,-y+3/4,-z+3/4'
'-x,y+3/4,z+3/4'
'-x+1/4,y+1/2,-z+3/4'
'x+1/4,-y+1/2,z+3/4'
'x+1/2,y,z+1/2'
'-x+1/2,-y,-z+1/2'
'-x+3/4,-y+1/4,z+1/2'
'x+3/4,y+1/4,-z+1/2'
'x+1/2,-y+1/4,-z+3/4'
'-x+1/2,y+1/4,z+3/4'
'-x+3/4,y,-z+3/4'
'x+3/4,-y,z+3/4'
'x+1/2,y+1/2,z'
'-x+1/2,-y+1/2,-z'
'-x+3/4,-y+3/4,z'
'x+3/4,y+3/4,-z'
'x+1/2,-y+3/4,-z+1/4'
'-x+1/2,y+3/4,z+1/4'
'-x+3/4,y+1/2,-z+1/4'
'x+3/4,-y+1/2,z+1/4'
loop_
_atom_site_label
_atom_site_fract_x
_atom_site_fract_y
_atom_site_fract_z
Ce1 0.1250 0.1250 0.0347
Y1 0.0000 0.0000 0.5000
Sn1 0.1250 0.3278 0.1250
# Density of states at the Fermi level (states/eV/atom): 1.841
# Volume (A^3/atom): 32.7
# ΔH_f (0 K) (eV per atom): -0.1717
# Electronic total energy (eV per atom): -5.639
# Energy above the lowest structure with this stoichiometry (eV per atom): 0.406
# M_tot (Bohr magnetons per cell): 13.2


# CeYSn PBE optimized geometry
data_CeYSn
_cell_length_a 10.6386
_cell_length_b 3.8483
_cell_length_c 8.4247
_cell_angle_alpha 90.00
_cell_angle_beta 109.70
_cell_angle_gamma 90.00
_symmetry_space_group_name_H-M 'C 1 2/m 1'
_symmetry_Int_Tables_number 12
_symmetry_space_group_name_Hall '-C 2y'
loop_
_atom_site_label
_atom_site_fract_x
_atom_site_fract_y
_atom_site_fract_z
Ce1 0.1831 0.0000 0.0567
Y1 0.1572 0.0000 0.5880
Sn1 0.0202 0.5000 0.2551
# Density of states at the Fermi level (states/eV/atom): 1.676
# Volume (A^3/atom): 27.1
# ΔH_f (0 K) (eV per atom): -0.4646
# Electronic total energy (eV per atom): -5.932
# Energy above the lowest structure with this stoichiometry (eV per atom): 0.113
# M_tot (Bohr magnetons per cell): 0.2


# CeYSn PBE optimized geometry
data_CeYSn
_cell_length_a 4.1137
_cell_length_b 4.1137
_cell_length_c 10.0031
_cell_angle_alpha 90.00
_cell_angle_beta 90.00
_cell_angle_gamma 90.00
_symmetry_space_group_name_H-M 'I 4 m m'
_symmetry_Int_Tables_number 107
_symmetry_space_group_name_Hall 'I 4 -2'
loop_
_atom_site_label
_atom_site_fract_x
_atom_site_fract_y
_atom_site_fract_z
Ce1 0.0000 0.0000 0.0000
Y1 0.0000 0.0000 0.3058
Sn1 0.0000 0.0000 0.6584
# Density of states at the Fermi level (states/eV/atom): 2.439
# Volume (A^3/atom): 28.2
# ΔH_f (0 K) (eV per atom): -0.3792
# Electronic total energy (eV per atom): -5.846
# Energy above the lowest structure with this stoichiometry (eV per atom): 0.199
# M_tot (Bohr magnetons per cell): 2.0


# CeYSn2 PBE optimized geometry
data_CeYSn2
_cell_length_a 4.3685
_cell_length_b 4.5821
_cell_length_c 11.5862
_cell_angle_alpha 90.00
_cell_angle_beta 90.00
_cell_angle_gamma 90.00
_symmetry_space_group_name_H-M 'A m m 2'
_symmetry_Int_Tables_number 38
_symmetry_space_group_name_Hall 'A 2 -2'
loop_
_atom_site_label
_atom_site_fract_x
_atom_site_fract_y
_atom_site_fract_z
Ce1 0.0000 0.0000 0.0000
Y1 0.5000 0.0000 0.2685
Sn1 0.0000 0.0000 0.7269
Sn2 0.5000 0.0000 0.5428
# Density of states at the Fermi level (states/eV/atom): 2.053
# Volume (A^3/atom): 29.0
# ΔH_f (0 K) (eV per atom): -0.6670
# Electronic total energy (eV per atom): -5.768
# M_tot (Bohr magnetons per cell): 1.8


# Ce3YSn5 PBE optimized geometry
data_Ce3YSn5
_cell_length_a 9.4295
_cell_length_b 9.4295
_cell_length_c 6.4782
_cell_angle_alpha 90.00
_cell_angle_beta 90.00
_cell_angle_gamma 120.00
_symmetry_space_group_name_H-M 'P 63/m c m'
_symmetry_Int_Tables_number 193
_symmetry_space_group_name_Hall '-P 6c 2'
loop_
_atom_site_label
_atom_site_fract_x
_atom_site_fract_y
_atom_site_fract_z
Ce1 0.0000 0.3828 0.2500
Y1 0.0000 0.0000 0.0000
Sn1 0.0000 0.2837 0.7500
Sn2 0.3333 0.6667 0.0000
# Density of states at the Fermi level (states/eV/atom): 1.643
# Volume (A^3/atom): 27.7
# ΔH_f (0 K) (eV per atom): -0.6237
# Electronic total energy (eV per atom): -5.544
# M_tot (Bohr magnetons per cell): 2.1


# CeYSn PBE optimized geometry
data_CeYSn
_cell_length_a 5.4676
_cell_length_b 5.4676
_cell_length_c 6.4651
_cell_angle_alpha 90.00
_cell_angle_beta 90.00
_cell_angle_gamma 120.00
_symmetry_space_group_name_H-M 'P 63/m m c'
_symmetry_Int_Tables_number 194
_symmetry_space_group_name_Hall '-P 6c 2c'
loop_
_atom_site_label
_atom_site_fract_x
_atom_site_fract_y
_atom_site_fract_z
Ce1 0.0000 0.0000 0.0000
Y1 0.3333 0.6667 0.2500
Sn1 0.3333 0.6667 0.7500
# Density of states at the Fermi level (states/eV/atom): 1.900
# Volume (A^3/atom): 27.9
# ΔH_f (0 K) (eV per atom): -0.5779
# Electronic total energy (eV per atom): -6.045
# Energy above the lowest structure with this stoichiometry (eV per atom): 0.000
# M_tot (Bohr magnetons per cell): 2.8